Entry 1:
DFT (PBE) results for a relaxed Pa2Zn2Ni3 crystal.

abc: 6.8722 6.8722 6.8722
angles: 109.47 109.47 109.47
Last column: nearest neighbours and their distance in Å.
Fractional coordinates of all 14 atoms:
Pa1 0.0000 0.5042 0.5000  6 Ni 2.67-2.98, 1 Zn 2.80
Pa2 0.5000 0.0000 0.5042  6 Ni 2.67-2.98, 1 Zn 2.80
Pa3 0.5042 0.5000 0.0000  6 Ni 2.67-2.98, 1 Zn 2.80
Pa4 0.9958 0.9958 0.9958  6 Ni 2.67-2.98, 1 Zn 2.80
Zn1 0.0000 0.9123 0.5000  3 Ni 2.43
Zn2 0.5000 0.0000 0.9123  3 Ni 2.43
Zn3 0.5877 0.5877 0.5877  3 Ni 2.43
Zn4 0.9123 0.5000 0.0000  3 Ni 2.43
Ni1 0.0299 0.2799 0.7500  2 Zn 2.43, 4 Ni 2.65, 2 Pa 2.67
Ni2 0.2201 0.2500 0.4701  2 Zn 2.43, 4 Ni 2.65, 2 Pa 2.67
Ni3 0.2500 0.4701 0.2201  2 Zn 2.43, 4 Ni 2.65, 2 Pa 2.67
Ni4 0.2799 0.7500 0.0299  2 Zn 2.43, 4 Ni 2.65, 2 Pa 2.67
Ni5 0.4701 0.2201 0.2500  2 Zn 2.43, 4 Ni 2.65, 2 Pa 2.67
Ni6 0.7500 0.0299 0.2799  2 Zn 2.43, 4 Ni 2.65, 2 Pa 2.67

Properties
Space group ... No. 199
Total magnetization ... 0.00 μB/cell
ΔH_f (0 K) ... -0.061 eV per atom
Calculated volume ... 17.8 Å³/atom



Entry 2:
DFT (PBE) results for a relaxed Pa2ZnNi crystal.

abc: 3.4360 3.4360 6.8035
angles: 90.00 90.00 90.00
Last column: nearest neighbours and their distance in Å.
Fractional coordinates of all 4 atoms:
Pa1 0.0000 0.0000 0.2175  4 Ni 2.84, 1 Pa 2.96, 4 Zn 3.10
Pa2 0.0000 0.0000 0.7825  4 Ni 2.84, 1 Pa 2.96, 4 Zn 3.10
Zn1 0.5000 0.5000 0.5000  8 Pa 3.10, 2 Ni 3.40, 4 Zn 3.44
Ni1 0.5000 0.5000 0.0000  8 Pa 2.84

Properties
Space group ... No. 123
Total magnetization ... 0.00 μB/cell
ΔH_f (0 K) ... -0.036 eV per atom
Calculated volume ... 20.1 Å³/atom



Entry 3:
DFT (PBE) results for a relaxed PaZn7Ni5 crystal.

abc: 6.5484 6.5484 6.5484
angles: 135.24 98.19 98.48
Last column: nearest neighbours and their distance in Å.
Fractional coordinates of all 13 atoms:
Pa1 0.0000 0.0000 0.0000  8 Zn 2.84-3.12, 6 Ni 2.86-2.95
Zn1 0.1626 0.4494 0.7132  5 Ni 2.47-2.59, 4 Zn 2.63-2.75
Zn2 0.2845 0.9368 0.3477  5 Ni 2.55-2.68, 4 Zn 2.61-2.81
Zn3 0.3320 0.3320 0.0000  3 Zn 2.62-2.66, 6 Ni 2.70-2.88, 1 Pa 2.84
Zn4 0.5891 0.9368 0.6523  5 Ni 2.55-2.68, 4 Zn 2.61-2.81
Zn5 0.6388 0.6388 0.0000  4 Ni 2.58, 3 Zn 2.61-2.62
Zn6 0.7276 0.2276 0.5000  4 Ni 2.52, 6 Zn 2.61-2.81
Zn7 0.7361 0.4494 0.2868  5 Ni 2.47-2.59, 4 Zn 2.63-2.75
Ni1 0.1642 0.6642 0.5000  4 Ni 2.47, 4 Zn 2.59-2.67
Ni2 0.4398 0.4405 0.4900  3 Ni 2.45-2.54, 7 Zn 2.47-2.70
Ni3 0.4398 0.9499 0.9993  3 Ni 2.45-2.54, 7 Zn 2.47-2.70
Ni4 0.9506 0.4405 0.0007  3 Ni 2.45-2.54, 7 Zn 2.47-2.70
Ni5 0.9506 0.9499 0.5100  3 Ni 2.45-2.54, 7 Zn 2.47-2.70

Properties
Space group ... No. 44
Total magnetization ... 0.00 μB/cell
ΔH_f (0 K) ... -0.228 eV per atom
Calculated volume ... 14.1 Å³/atom



Entry 4:
DFT (PBE) results for a relaxed PaZn6Ni6 crystal.

abc: 6.4908 6.4908 6.4908
angles: 135.60 99.92 96.50
Last column: nearest neighbours and their distance in Å.
Fractional coordinates of all 13 atoms:
Pa1 0.0000 0.0000 0.0000  8 Zn 2.89-3.06, 4 Ni 3.04
Zn1 0.2108 0.7108 0.5000  6 Ni 2.44-2.56
Zn2 0.3466 0.0000 0.3466  3 Zn 2.56-2.81, 6 Ni 2.61-2.69
Zn3 0.3532 0.3532 0.0000  3 Zn 2.54-2.74, 6 Ni 2.58-2.70
Zn4 0.6468 0.6468 0.0000  3 Zn 2.54-2.74, 6 Ni 2.58-2.70
Zn5 0.6534 0.0000 0.6534  3 Zn 2.56-2.81, 6 Ni 2.61-2.69
Zn6 0.7892 0.2892 0.5000  6 Ni 2.44-2.56
Ni1 0.0000 0.0000 0.5000  6 Zn 2.44-2.61, 4 Ni 2.45-2.50
Ni2 0.0000 0.5000 0.0000  6 Zn 2.44-2.61, 4 Ni 2.45-2.50
Ni3 0.2151 0.5000 0.7151  4 Ni 2.50, 6 Zn 2.56-2.70
Ni4 0.5000 0.0000 0.0000  6 Zn 2.44-2.61, 4 Ni 2.45-2.50
Ni5 0.5000 0.5000 0.5000  6 Zn 2.44-2.61, 4 Ni 2.45-2.50
Ni6 0.7849 0.5000 0.2849  4 Ni 2.50, 6 Zn 2.56-2.70

Properties
Space group ... No. 71
Total magnetization ... 0.00 μB/cell
ΔH_f (0 K) ... -0.244 eV per atom
Calculated volume ... 13.6 Å³/atom



Entry 5:
DFT (PBE) results for a relaxed ZrPaNi2 crystal.

abc: 3.2138 3.2138 6.8002
angles: 90.00 90.00 90.00
Last column: nearest neighbours and their distance in Å.
Fractional coordinates of all 4 atoms:
Zr1 0.0000 0.0000 0.0000  8 Ni 2.73
Pa1 0.0000 0.0000 0.5000  8 Ni 2.95, 4 Pa 3.21
Ni1 0.5000 0.5000 0.2224  4 Zr 2.73, 4 Pa 2.95, 1 Ni 3.02
Ni2 0.5000 0.5000 0.7776  4 Zr 2.73, 4 Pa 2.95, 1 Ni 3.02

Properties
Space group ... No. 123
Total magnetization ... 0.00 μB/cell
ΔH_f (0 K) ... -0.265 eV per atom
Calculated volume ... 17.6 Å³/atom



Entry 6:
DFT (PBE) results for a relaxed ZrPaNi2 crystal.

abc: 4.1872 5.3232 5.3232
angles: 37.37 90.00 90.00
Last column: nearest neighbours and their distance in Å.
Fractional coordinates of all 4 atoms:
Zr1 0.0000 0.0000 0.0000  7 Ni 2.74-2.86
Pa1 0.5000 0.7141 0.7141  7 Ni 2.76-2.86
Ni1 0.0000 0.2721 0.2721  2 Ni 2.63, 3 Zr 2.74-2.86, 4 Pa 2.76
Ni2 0.5000 0.4306 0.4306  2 Ni 2.63, 3 Pa 2.77-2.86, 4 Zr 2.79

Properties
Space group ... No. 38
Total magnetization ... 0.00 μB/cell
ΔH_f (0 K) ... -0.378 eV per atom
Calculated volume ... 18.0 Å³/atom



Entry 7:
DFT (PBE) results for a relaxed Zr3PaNi8 crystal.

abc: 4.9417 4.9417 8.1526
angles: 90.00 90.00 120.00
Last column: nearest neighbours and their distance in Å.
Fractional coordinates of all 12 atoms:
Zr1 0.0000 0.0000 0.0000  12 Ni 2.88-2.93, 4 Zr 3.01-3.07
Zr2 0.0000 0.0000 0.3771  12 Ni 2.89-2.95, 3 Pa 3.00, 1 Zr 3.07
Zr3 0.3333 0.6667 0.8833  12 Ni 2.82-2.95, 3 Zr 3.01
Pa1 0.3333 0.6667 0.4907  12 Ni 2.89-2.94, 4 Zr 3.00-3.20
Ni1 0.3331 0.1666 0.6866  6 Ni 2.44-2.50
Ni2 0.5008 0.0016 0.1806  6 Ni 2.46-2.51
Ni3 0.5008 0.4992 0.1806  6 Ni 2.46-2.51
Ni4 0.6667 0.3333 0.4348  6 Ni 2.50-2.51
Ni5 0.6667 0.3333 0.9297  6 Ni 2.44-2.49
Ni6 0.8334 0.1666 0.6866  6 Ni 2.44-2.50
Ni7 0.8334 0.6669 0.6866  6 Ni 2.44-2.50
Ni8 0.9984 0.4992 0.1806  6 Ni 2.46-2.51

Properties
Space group ... No. 156
Total magnetization ... 0.00 μB/cell
ΔH_f (0 K) ... -0.399 eV per atom
Calculated volume ... 14.4 Å³/atom



Entry 8:
DFT (PBE) results for a relaxed ZrPaNi10 crystal.

abc: 3.9839 4.7901 8.2847
angles: 90.00 90.00 90.00
Last column: nearest neighbours and their distance in Å.
Fractional coordinates of all 12 atoms:
Zr1 0.0000 0.0000 0.0000  6 Ni 2.75-2.76
Pa1 0.0000 0.5000 0.5000  6 Ni 2.77
Ni1 0.0000 0.0000 0.3316  6 Ni 2.42-2.43
Ni2 0.0000 0.0000 0.6684  6 Ni 2.42-2.43
Ni3 0.0000 0.5000 0.1660  6 Ni 2.42
Ni4 0.0000 0.5000 0.8340  6 Ni 2.42
Ni5 0.5000 0.0000 0.5000  8 Ni 2.41-2.43
Ni6 0.5000 0.2485 0.2469  8 Ni 2.37-2.42
Ni7 0.5000 0.2485 0.7531  8 Ni 2.37-2.42
Ni8 0.5000 0.5000 0.0000  8 Ni 2.37-2.42
Ni9 0.5000 0.7515 0.2469  8 Ni 2.37-2.42
Ni10 0.5000 0.7515 0.7531  8 Ni 2.37-2.42

Properties
Space group ... No. 47
Total magnetization ... 1.02 μB/cell
ΔH_f (0 K) ... -0.336 eV per atom
Calculated volume ... 13.2 Å³/atom



Entry 9:
DFT (PBE) results for a relaxed ZrPaNi3 crystal.

abc: 6.8030 6.9915 6.9970
angles: 90.00 90.00 90.00
Last column: nearest neighbours and their distance in Å.
Fractional coordinates of all 20 atoms:
Zr1 0.1895 0.1542 0.0000  8 Ni 2.60-2.81
Zr2 0.3105 0.6542 0.5000  8 Ni 2.60-2.81
Zr3 0.6895 0.3458 0.5000  8 Ni 2.60-2.81
Zr4 0.8105 0.8458 0.0000  8 Ni 2.60-2.81
Pa1 0.2005 0.1704 0.5000  6 Ni 2.58-2.79
Pa2 0.2995 0.6704 0.0000  6 Ni 2.58-2.79
Pa3 0.7005 0.3296 0.0000  6 Ni 2.58-2.79
Pa4 0.7995 0.8296 0.5000  6 Ni 2.58-2.79
Ni1 0.0000 0.5000 0.2855  5 Ni 2.73-3.00, 2 Zr 2.81
Ni2 0.0000 0.5000 0.7145  5 Ni 2.73-3.00, 2 Zr 2.81
Ni3 0.1238 0.8702 0.2581  3 Ni 2.48-2.73, 2 Pa 2.58-2.75, 2 Zr 2.60-2.72
Ni4 0.1238 0.8702 0.7419  3 Ni 2.48-2.73, 2 Pa 2.58-2.75, 2 Zr 2.60-2.72
Ni5 0.3762 0.3702 0.2419  3 Ni 2.48-2.73, 2 Pa 2.58-2.75, 2 Zr 2.60-2.72
Ni6 0.3762 0.3702 0.7581  3 Ni 2.48-2.73, 2 Pa 2.58-2.75, 2 Zr 2.60-2.72
Ni7 0.5000 0.0000 0.2145  5 Ni 2.73-3.00, 2 Zr 2.81
Ni8 0.5000 0.0000 0.7855  5 Ni 2.73-3.00, 2 Zr 2.81
Ni9 0.6238 0.6298 0.2419  3 Ni 2.48-2.73, 2 Pa 2.58-2.75, 2 Zr 2.60-2.72
Ni10 0.6238 0.6298 0.7581  3 Ni 2.48-2.73, 2 Pa 2.58-2.75, 2 Zr 2.60-2.72
Ni11 0.8762 0.1298 0.2581  3 Ni 2.48-2.73, 2 Pa 2.58-2.75, 2 Zr 2.60-2.72
Ni12 0.8762 0.1298 0.7419  3 Ni 2.48-2.73, 2 Pa 2.58-2.75, 2 Zr 2.60-2.72

Properties
Space group ... No. 58
Total magnetization ... 0.00 μB/cell
ΔH_f (0 K) ... -0.391 eV per atom
Calculated volume ... 16.6 Å³/atom



Entry 10:
DFT (PBE) results for a relaxed ZrPaNi2 crystal.

abc: 4.6554 4.6554 4.6554
angles: 60.00 60.00 60.00
Last column: nearest neighbours and their distance in Å.
Fractional coordinates of all 4 atoms:
Zr1 0.0000 0.0000 0.0000  8 Ni 2.85
Pa1 0.5000 0.5000 0.5000  8 Ni 2.85
Ni1 0.2500 0.2500 0.2500  4 Zr 2.85, 4 Pa 2.85
Ni2 0.7500 0.7500 0.7500  4 Zr 2.85, 4 Pa 2.85

Properties
Space group ... No. 225
Total magnetization ... 0.01 μB/cell
ΔH_f (0 K) ... -0.196 eV per atom
Calculated volume ... 17.8 Å³/atom